Record 1
Tb2Pm8Y3, optimized geometry, DFT PBE-GGA; energy of formation = 0.06 eV per atom; DOS at the Fermi energy = 1.5900 states/eV/atom; E = -5.064 eV per atom
1.0
-2.8441 -11.4412 2.5717
-0.8890 0.4542 -6.0889
6.3289 -1.4782 2.0065
Tb Pm Y
2 8 3
Direct
0.4265 0.2733 0.5709
0.5735 0.7267 0.4291
0.6743 0.6171 0.9087
0.1975 0.8498 0.1652
0.2628 0.7514 0.6238
0.8025 0.1502 0.8348
0.1153 0.2272 0.6857
0.8847 0.7728 0.3143
0.7372 0.2486 0.3762
0.3257 0.3829 0.0913
0.5000 0.0000 0.0000
0.9663 0.6906 0.7742
0.0337 0.3094 0.2258


Record 2
Ac3CdHg5, optimized geometry, DFT PBE-GGA; energy of formation = -0.43 eV per atom; DOS at the Fermi energy = 0.7322 states/eV/atom; E = -2.073 eV per atom
1.0
-0.0505 -4.0654 5.3120
8.4211 -3.8483 -2.8651
-0.0567 7.6958 5.8893
Ac Cd Hg
6 2 10
Direct
0.7500 0.3635 0.3635
0.7500 0.0000 0.6365
0.7500 0.6363 0.0000
0.2500 0.0000 0.3635
0.2500 0.6365 0.6365
0.2500 0.3637 0.0000
0.5000 0.0000 0.0000
0.0000 0.0000 0.0000
0.2500 0.7070 0.0000
0.5000 0.6669 0.3338
0.7500 0.7071 0.7072
0.7500 0.2930 0.0000
0.5000 0.3331 0.6662
0.0000 0.3331 0.6662
0.7500 0.9999 0.2928
0.0000 0.6669 0.3338
0.2500 0.0001 0.7072
0.2500 0.2929 0.2928


Record 3
LaCeCoSi, optimized geometry, DFT PBE-GGA; DOS at the Fermi energy = 0.7709 states/eV/atom; E = -6.193 eV per atom
1.0
4.9191 0.0000 0.0000
0.0000 4.9191 0.0000
0.0000 0.0000 8.4737
Ce Co Si La
2 2 2 2
Direct
0.5000 0.5000 0.5000
0.0000 0.0000 0.5000
0.5000 0.0000 0.5143
0.0000 0.5000 0.4857
0.0000 0.5000 0.2119
0.5000 0.0000 0.7881
0.0000 0.5000 0.8611
0.5000 0.0000 0.1389


Record 4
La2Nd6Y3, optimized geometry, DFT PBE-GGA; energy of formation = 0.44 eV per atom; DOS at the Fermi energy = 1.3674 states/eV/atom; E = -4.824 eV per atom
1.0
-0.8803 -2.1955 -5.2241
5.3780 -1.9894 -0.0702
-6.1391 -8.6057 7.7986
Y Nd La
3 6 2
Direct
0.1625 0.1625 0.3249
0.0000 0.0000 0.0000
0.8375 0.8375 0.6751
0.5962 0.0962 0.1924
0.9038 0.4038 0.8076
0.4038 0.9038 0.8076
0.0962 0.5962 0.1924
0.3004 0.3004 0.6009
0.6996 0.6996 0.3991
0.4413 0.4413 0.8827
0.5587 0.5587 0.1173


Record 5
La15In4Ga, optimized geometry, DFT PBE-GGA; energy of formation = -0.29 eV per atom; DOS at the Fermi energy = 1.4879 states/eV/atom; E = -4.688 eV per atom
1.0
5.0435 0.0000 0.0000
0.0000 5.0435 0.0000
0.0000 0.0000 25.1884
La In Ga
15 4 1
Direct
0.0000 0.5000 0.2978
0.5000 0.0000 0.7022
0.5000 0.5000 0.1960
0.0000 0.5000 0.9047
0.5000 0.5000 0.3989
0.5000 0.5000 0.6011
0.5000 0.0000 0.2978
0.0000 0.5000 0.0953
0.5000 0.5000 0.8040
0.5000 0.0000 0.5000
0.5000 0.0000 0.9047
0.0000 0.5000 0.7022
0.5000 0.0000 0.0953
0.0000 0.5000 0.5000
0.5000 0.5000 0.0000
0.0000 0.0000 0.3989
0.0000 0.0000 0.8032
0.0000 0.0000 0.1968
0.0000 0.0000 0.6011
0.0000 0.0000 0.0000


Record 6
Ho4Cd5Pt2, optimized geometry, DFT PBE-GGA; energy of formation = -0.63 eV per atom; DOS at the Fermi energy = 0.6924 states/eV/atom; E = -3.814 eV per atom
1.0
3.5771 0.0000 0.0000
0.0000 7.6702 0.0306
0.0000 -0.7025 9.7243
Ho Cd Pt
4 5 2
Direct
0.5000 0.1668 0.8553
0.5000 0.8332 0.1447
0.5000 0.7772 0.5526
0.5000 0.2228 0.4474
0.0000 0.1885 0.1496
0.0000 0.8115 0.8504
0.0000 0.4554 0.6812
0.0000 0.5000 0.0000
0.0000 0.5446 0.3188
0.0000 0.9295 0.3582
0.0000 0.0705 0.6418


Record 7
ZrSO, optimized geometry, DFT PBE-GGA; DOS at the Fermi energy = 0.0000 states/eV/atom; E = -8.328 eV per atom
1.0
5.7721 0.0000 0.0000
0.0000 5.7721 0.0000
0.0000 0.0000 5.7721
O Zr S
4 4 4
Direct
0.6559 0.6559 0.6559
0.8441 0.3441 0.1559
0.1559 0.8441 0.3441
0.3441 0.1559 0.8441
0.5706 0.4294 0.9294
0.0706 0.0706 0.0706
0.9294 0.5706 0.4294
0.4294 0.9294 0.5706
0.6692 0.8308 0.1692
0.1692 0.6692 0.8308
0.8308 0.1692 0.6692
0.3308 0.3308 0.3308


Record 8
MgSiSeBr2, optimized geometry, DFT PBE-GGA; DOS at the Fermi energy = 0.2793 states/eV/atom; E = -2.931 eV per atom
1.0
5.0979 0.0000 0.0000
0.0000 5.0979 0.0000
0.0000 0.0000 5.0858
Br Se Mg Si
2 1 1 1
Direct
0.0000 0.5000 0.0000
0.5000 0.0000 0.0000
0.0000 0.0000 0.5000
0.5000 0.5000 0.5000
0.0000 0.0000 0.0000


Record 9
Sr2MgPb, optimized geometry, DFT PBE-GGA; energy of formation = -0.26 eV per atom; DOS at the Fermi energy = 0.6927 states/eV/atom; E = -2.426 eV per atom
1.0
6.7987 0.0638 -0.0718
5.7155 3.6822 -0.0718
1.8392 0.5505 5.7755
Mg Sr Pb
1 2 1
Direct
0.4661 0.4661 0.4803
0.2282 0.2282 0.3011
0.0270 0.0270 0.9414
0.7787 0.7787 0.7772


Record 10
K2SiPbO4, optimized geometry, DFT PBE-GGA; DOS at the Fermi energy = 0.0000 states/eV/atom; E = -5.853 eV per atom
1.0
5.9572 -0.2850 -0.4365
-2.7961 5.2679 0.4365
-2.7961 -1.7204 4.9982
O K Pb Si
4 2 1 1
Direct
0.9677 0.5433 0.2107
0.0323 0.2430 0.5756
0.6674 0.4244 0.4567
0.3326 0.7893 0.7570
0.0000 0.0000 0.0000
0.5000 0.7500 0.2500
0.5000 0.2500 0.7500
0.0000 0.5000 0.5000


Record 11
PAuS2N, optimized geometry, DFT PBE-GGA; DOS at the Fermi energy = 0.7126 states/eV/atom; E = -3.532 eV per atom
1.0
4.9906 0.0000 0.0000
0.0000 4.9906 0.0000
0.0000 0.0000 3.7526
S N P Au
2 1 1 1
Direct
0.0000 0.5000 0.0000
0.5000 0.0000 0.0000
0.0000 0.0000 0.5000
0.5000 0.5000 0.5000
0.0000 0.0000 0.0000


Record 12
SmHfSe2, optimized geometry, DFT PBE-GGA; DOS at the Fermi energy = 0.7713 states/eV/atom; E = -6.759 eV per atom
1.0
3.6928 0.0000 0.0000
1.8464 3.1980 0.0000
1.8464 1.0660 7.5920
Se Sm Hf
2 1 1
Direct
0.2419 0.2419 0.2742
0.0919 0.0919 0.7243
0.6661 0.6661 0.0016
0.5000 0.5000 0.4999


Record 13
LiHoTmTl, optimized geometry, DFT PBE-GGA; energy of formation = -0.18 eV per atom; DOS at the Fermi energy = 0.6462 states/eV/atom; E = -3.512 eV per atom
1.0
-1.3787 -3.6924 -3.4455
3.6619 -2.4018 -2.8685
1.1781 -5.0159 0.9268
Tl Ho Tm Li
1 1 1 1
Direct
0.0000 0.0000 0.0000
0.7500 0.7500 0.7500
0.2500 0.2500 0.2500
0.5000 0.5000 0.5000


Record 14
NpU3In3Se8, optimized geometry, DFT PBE-GGA; DOS at the Fermi energy = 1.5708 states/eV/atom; E = -6.410 eV per atom
1.0
8.2414 0.0000 0.0000
-4.1207 7.1368 -0.0314
0.0000 -4.7253 7.8437
Se U In Np
8 3 3 1
Direct
0.7336 0.9708 0.7077
0.2371 0.9708 0.7077
0.7629 0.0292 0.2923
0.2632 0.5263 0.2896
0.2664 0.0292 0.2923
0.2371 0.4743 0.7078
0.7629 0.5257 0.2922
0.7368 0.4737 0.7104
0.0000 0.5000 0.5000
0.5000 0.5000 0.5000
0.5000 0.0000 0.5000
0.0000 0.5000 0.0000
0.0000 0.0000 0.0000
0.5000 0.5000 0.0000
0.0000 0.0000 0.5000


Record 15
Ta2Zn2Pt, optimized geometry, DFT PBE-GGA; energy of formation = -0.11 eV per atom; DOS at the Fermi energy = 0.5390 states/eV/atom; E = -6.570 eV per atom
1.0
-1.6965 3.4785 -5.1312
-1.8191 -5.3651 -3.0355
-3.5591 0.3910 1.4418
Ta Zn Pt
4 4 2
Direct
0.3303 0.1697 0.5000
0.6697 0.8303 0.5000
0.8303 0.3303 0.5000
0.1697 0.6697 0.5000
0.3688 0.8688 0.0000
0.6312 0.1312 0.0000
0.8688 0.6312 0.0000
0.1312 0.3688 0.0000
0.5000 0.5000 0.0000
0.0000 0.0000 0.0000


Record 16
SrIn2Sn4, optimized geometry, DFT PBE-GGA; energy of formation = -0.03 eV per atom; DOS at the Fermi energy = 0.5915 states/eV/atom; E = -3.343 eV per atom
1.0
4.5067 0.0000 0.0000
0.0000 4.5067 0.0000
-2.2534 -2.2534 10.9097
Sn In Sr
4 2 1
Direct
0.8503 0.8503 0.7006
0.7500 0.2500 0.5000
0.2500 0.7500 0.5000
0.1497 0.1497 0.2994
0.5961 0.5961 0.1922
0.4039 0.4039 0.8078
0.0000 0.0000 0.0000


Record 17
CeGeAu2, optimized geometry, DFT PBE-GGA; energy of formation = -0.41 eV per atom; DOS at the Fermi energy = 1.6125 states/eV/atom; E = -4.687 eV per atom
1.0
4.4963 0.0000 0.0000
0.0000 4.3919 0.0000
0.0000 0.0000 4.3919
Au Ge Ce
2 1 1
Direct
0.0000 0.5000 0.0000
0.0000 0.0000 0.5000
0.5000 0.5000 0.5000
0.5000 0.0000 0.0000


Record 18
La2TbYEr5, optimized geometry, DFT PBE-GGA; energy of formation = 0.26 eV per atom; DOS at the Fermi energy = 1.4025 states/eV/atom; E = -4.604 eV per atom
1.0
8.6002 0.0000 0.0000
0.0000 8.6002 0.0000
-4.3001 -4.3001 7.8997
La Er Tb Y
4 10 2 2
Direct
0.3820 0.8820 0.0000
0.6180 0.1180 0.0000
0.1180 0.3820 0.0000
0.8820 0.6180 0.0000
0.4250 0.3595 0.2846
0.0000 0.0000 0.0000
0.5000 0.5000 0.0000
0.5750 0.6405 0.7154
0.6405 0.1405 0.7154
0.8595 0.9250 0.2846
0.3595 0.8595 0.2846
0.9250 0.4250 0.2846
0.1405 0.0750 0.7154
0.0750 0.5750 0.7154
0.7500 0.7500 0.5000
0.2500 0.2500 0.5000
0.7500 0.2500 0.5000
0.2500 0.7500 0.5000


Record 19
La2CuGePd6, optimized geometry, DFT PBE-GGA; energy of formation = -0.56 eV per atom; DOS at the Fermi energy = 0.3843 states/eV/atom; E = -5.535 eV per atom
1.0
-2.2823 4.8539 1.9682
-5.9100 -0.4756 -5.6809
-5.1416 -0.0668 2.4868
Pd Ge La Cu
6 1 2 1
Direct
0.7470 0.7354 0.5022
0.7474 0.7358 0.0144
0.7656 0.2659 0.9841
0.2526 0.2641 0.9856
0.2530 0.2646 0.4978
0.2344 0.7341 0.0159
0.5000 0.5000 0.0000
0.7133 0.1352 0.5757
0.2867 0.8648 0.4243
0.0000 0.0000 0.0000


Record 20
SmCoSi3Ni, optimized geometry, DFT PBE-GGA; DOS at the Fermi energy = 0.5076 states/eV/atom; E = -6.060 eV per atom
1.0
-2.1252 -2.0651 4.7750
5.1247 -2.8912 1.0305
-0.4614 6.2423 2.4943
Sm Si Co Ni
2 6 2 2
Direct
0.2500 0.7672 0.5343
0.7500 0.2328 0.4657
0.5000 0.2879 0.0000
0.0000 0.7121 0.0000
0.0000 0.2879 0.0000
0.5000 0.7121 0.0000
0.2500 0.2170 0.4340
0.7500 0.7830 0.5660
0.7500 0.9570 0.9141
0.2500 0.0430 0.0859
0.7500 0.6076 0.2151
0.2500 0.3924 0.7849


Record 21
SrSiTc2, optimized geometry, DFT PBE-GGA; DOS at the Fermi energy = 0.8220 states/eV/atom; E = -6.391 eV per atom
1.0
5.6991 0.0002 -0.0011
2.7864 4.9715 0.0011
-3.5890 -3.6016 2.5743
Sr Tc Si
1 2 1
Direct
0.2473 0.7473 0.5000
0.9662 0.9662 0.0000
0.7485 0.2485 0.5000
0.5379 0.5379 0.0000


Record 22
BiPSeO2, optimized geometry, DFT PBE-GGA; DOS at the Fermi energy = 0.9170 states/eV/atom; E = -4.381 eV per atom
1.0
4.0728 0.0000 0.0000
0.0000 4.0728 0.0000
0.0000 0.0000 6.0845
Se P Bi O
1 1 1 2
Direct
0.5000 0.5000 0.5000
0.0000 0.0000 0.5000
0.0000 0.0000 0.0000
0.5000 0.0000 0.0000
0.0000 0.5000 0.0000


Record 23
Sc4TcRu, optimized geometry, DFT PBE-GGA; energy of formation = 0.58 eV per atom; DOS at the Fermi energy = 1.1847 states/eV/atom; E = -6.918 eV per atom
1.0
4.3475 -0.5159 3.2009
2.1740 4.3790 2.3475
-0.4734 0.7233 5.3540
Ru Sc Tc
1 4 1
Direct
0.0000 0.0000 0.0000
0.3750 0.3750 0.3750
0.3750 0.3750 0.8749
0.8749 0.3750 0.3750
0.3750 0.8749 0.3750
0.7500 0.7500 0.7500